# SbRhCl PBEsol optimized geometry
# * distance to the lowest polymorph of the same formula: 358 meV/atom
data_SbRhCl
_cell_length_a 6.2483
_cell_length_b 6.2483
_cell_length_c 6.2483
_cell_angle_alpha 90.00
_cell_angle_beta 90.00
_cell_angle_gamma 90.00
_space_group_name_H-M_alt 'F -4 3 m'
_space_group_IT_number 216
_space_group_name_Hall 'F -4 2 3'
loop_
_atom_site_label
_atom_site_fract_x
_atom_site_fract_y
_atom_site_fract_z
Sb1 0.0000 0.0000 0.0000
Rh1 0.0000 0.0000 0.5000
Cl1 0.2500 0.2500 0.7500